No. 1
Entry from Alexandria via LeMat-Bulk: a geometry-optimized RbCa2Ac structure (GGA-PBE).

Cell lengths 6.879, 6.879, 4.135 Å; angles 90.00, 90.00, 90.00 degrees
Space group P4/mmm (No. 123)
Symmetry-distinct sites (fractional):
Rb (0.000, 0.000, 0.000) x1
Ca (0.000, 0.500, 0.500) x2
Ac (0.500, 0.500, 0.000) x1

Values from the calculation:
Calculated formation energy in eV/atom: 0.24
DOS(E_F) in states/eV/cell: 4.72
Offset from the most stable computed form in eV per atom: 0.107
V in Å³/cell: 196

No. 2
Entry from Alexandria via LeMat-Bulk: a geometry-optimized RbCa2Ac structure (GGA-PBE).

Cell lengths 4.004, 4.004, 12.681 Å; angles 90.00, 90.00, 90.00 degrees
Space group P4/mmm (No. 123)
Symmetry-distinct sites (fractional):
Rb (0.000, 0.000, 0.000) x1
Ca (0.500, 0.500, 0.284) x2
Ac (0.000, 0.000, 0.500) x1

Values from the calculation:
Calculated formation energy in eV/atom: 0.14
DOS(E_F) in states/eV/cell: 5.04
Offset from the most stable computed form in eV per atom: 0.000
V in Å³/cell: 203

No. 3
Entry from Alexandria via LeMat-Bulk: a geometry-optimized RbCa2Ac structure (GGA-PBE).

Cell lengths 3.9933, 3.9933, 43.6461 Å; angles 90.00, 90.00, 120.00 degrees
Space group R-3m (No. 166, hexagonal axes)
Symmetry-distinct sites (fractional):
Rb (0.0000, 0.0000, 0.0000) x3
Ca (0.0000, 0.0000, 0.0933) x6
Ac (0.0000, 0.0000, 0.5000) x3

Values from the calculation:
Calculated formation energy in eV/atom: 0.17
DOS(E_F) in states/eV/cell: 19.46
Offset from the most stable computed form in eV per atom: 0.039
V in Å³/cell: 603

No. 4
Entry from Alexandria via LeMat-Bulk: a geometry-optimized RbCaAc2 structure (GGA-PBE).

Cell lengths 3.9716, 3.9716, 43.5805 Å; angles 90.00, 90.00, 120.00 degrees
Space group R-3m (No. 166, hexagonal axes)
Symmetry-distinct sites (fractional):
Rb (0.0000, 0.0000, 0.0000) x3
Ca (0.0000, 0.0000, 0.5000) x3
Ac (0.0000, 0.0000, 0.0937) x6

Values from the calculation:
Calculated formation energy in eV/atom: 0.22
DOS(E_F) in states/eV/cell: 15.44
V in Å³/cell: 595

Among the records above, which one has the highest DOS(E_F)? number 3